Record 1
The following is a DFT calculation (PBE-GGA) of crystalline La5PrTm2 at its relaxed geometry.

a = 5.1916 Å, b = 7.3320 Å, c = 14.6659 Å
α = 90.00°, β = 90.00°, γ = 90.00°
Closest atoms and distances in Å follow each position.
Fractional coordinates of all 16 atoms:
La 0.0000 0.0000 0.0000  4 Tm 3.66, 2 Pr 3.67, 6 La 3.67
La 0.0000 0.5000 0.5000  4 Tm 3.66, 2 Pr 3.67, 6 La 3.67
La 0.0000 0.5012 0.7504  1 Pr 3.66, 7 La 3.67, 4 Tm 3.67-3.68
La 0.0000 0.4988 0.2496  1 Pr 3.66, 7 La 3.67, 4 Tm 3.67-3.68
La 0.0000 0.9988 0.2504  1 Pr 3.66, 7 La 3.67, 4 Tm 3.67-3.68
La 0.0000 0.0012 0.7496  1 Pr 3.66, 7 La 3.67, 4 Tm 3.67-3.68
La 0.5000 0.2503 0.8753  4 Tm 3.66-3.68, 2 Pr 3.67, 6 La 3.67
La 0.5000 0.7497 0.1247  4 Tm 3.66-3.68, 2 Pr 3.67, 6 La 3.67
La 0.5000 0.2497 0.3753  4 Tm 3.66-3.68, 2 Pr 3.67, 6 La 3.67
La 0.5000 0.7503 0.6247  4 Tm 3.66-3.68, 2 Pr 3.67, 6 La 3.67
Pr 0.0000 0.0000 0.5000  8 La 3.66-3.67, 4 Tm 3.67
Pr 0.0000 0.5000 0.0000  8 La 3.66-3.67, 4 Tm 3.67
Tm 0.5000 0.2508 0.6247  10 La 3.66-3.68, 2 Pr 3.67
Tm 0.5000 0.7492 0.3753  10 La 3.66-3.68, 2 Pr 3.67
Tm 0.5000 0.2492 0.1247  10 La 3.66-3.68, 2 Pr 3.67
Tm 0.5000 0.7508 0.8753  10 La 3.66-3.68, 2 Pr 3.67

Summary:
ρ: 6.98 g/cm³
E_form: 8 meV/atom
DOS at the Fermi energy: 19.45 states/eV per cell
distance to the lowest polymorph of the same formula: 0.0 meV per atom

---

Record 2
The following is a DFT calculation (PBE-GGA) of crystalline Mg2GaHgIr at its relaxed geometry.

a = 5.0483 Å, b = 5.0483 Å, c = 4.7707 Å
α = 90.00°, β = 90.00°, γ = 90.00°
Closest atoms and distances in Å follow each position.
Fractional coordinates of all 5 atoms:
Mg 0.0000 0.5000 0.0000  2 Ir 2.52
Mg 0.5000 0.0000 0.0000  2 Ir 2.52
Ir 0.0000 0.0000 0.0000  2 Ga 2.39, 4 Mg 2.52
Hg 0.5000 0.5000 0.5000  8 Mg 3.47, 4 Ga 3.57
Ga 0.0000 0.0000 0.5000  2 Ir 2.39

Summary:
ρ: 6.98 g/cm³
E_form: -150 meV/atom
DOS at the Fermi energy: 1.36 states/eV per cell

---

Record 3
The following is a DFT calculation (PBE-GGA) of crystalline PrSm2Tl9 at its relaxed geometry.

a = 4.8237 Å, b = 4.8237 Å, c = 14.4692 Å
α = 90.00°, β = 90.00°, γ = 90.00°
Closest atoms and distances in Å follow each position.
Fractional coordinates of all 12 atoms:
Pr 0.0000 0.0000 0.0000  12 Tl 3.41-3.43
Sm 0.0000 0.0000 0.3344  12 Tl 3.40-3.41
Sm 0.0000 0.0000 0.6656  12 Tl 3.40-3.41
Tl 0.5000 0.5000 0.0000  4 Pr 3.41, 8 Tl 3.43
Tl 0.5000 0.5000 0.3340  8 Tl 3.40, 4 Sm 3.41
Tl 0.5000 0.5000 0.6660  8 Tl 3.40, 4 Sm 3.41
Tl 0.5000 0.0000 0.1689  8 Tl 3.40-3.43, 2 Sm 3.40, 2 Pr 3.43
Tl 0.5000 0.0000 0.5000  4 Sm 3.40, 8 Tl 3.40-3.41
Tl 0.5000 0.0000 0.8311  8 Tl 3.40-3.43, 2 Sm 3.40, 2 Pr 3.43
Tl 0.0000 0.5000 0.1689  8 Tl 3.40-3.43, 2 Sm 3.40, 2 Pr 3.43
Tl 0.0000 0.5000 0.5000  4 Sm 3.40, 8 Tl 3.40-3.41
Tl 0.0000 0.5000 0.8311  8 Tl 3.40-3.43, 2 Sm 3.40, 2 Pr 3.43

Summary:
ρ: 11.25 g/cm³
E_form: -306 meV/atom
DOS at the Fermi energy: 4.72 states/eV per cell

---

Sequential M_tot output: 0.000; 0.000; 0.000 μB/atom